TmPuP: optimized geometry, PBE.

Calculated values
- Calculated total energy: -8.693 eV per atom
- Symmetry: P2_1/m (11)
- Crystal system: monoclinic

abc: 5.4879 3.5068 6.5049
angles: 90.00 90.03 90.00
With the nearest neighbours (Å) after each atom.
Positions (direct):
Tm (0.2475, 0.2500, 0.3976)  3 P 2.65-2.74
Tm (0.7525, 0.7500, 0.6024)  3 P 2.65-2.74
Pu (0.1314, 0.7500, 0.9498)  2 Pu 2.36
Pu (0.8686, 0.2500, 0.0502)  2 Pu 2.36
P (0.4573, 0.2500, 0.7796)  3 Tm 2.65-2.74, 3 Pu 2.74-2.86
P (0.5427, 0.7500, 0.2204)  3 Tm 2.65-2.74, 3 Pu 2.74-2.86

=====

Tm2PuP: optimized geometry, PBE.

Calculated values
- Calculated total energy: -7.560 eV per atom
- Symmetry: R-3m (166)
- Crystal system: trigonal

abc: 10.2403 10.2403 10.2403
angles: 20.48 20.48 20.48
With the nearest neighbours (Å) after each atom.
Positions (direct):
Tm (0.1120, 0.1120, 0.1120)  3 P 2.67
Tm (0.8880, 0.8880, 0.8880)  3 P 2.67
Pu (0.0000, 0.0000, 0.0000)  2 Tm 3.37, 6 Pu 3.64
P (0.5000, 0.5000, 0.5000)  6 Tm 2.67

=====

TmPuP2: optimized geometry, PBE.

Calculated values
- Calculated total energy: -8.785 eV per atom
- Symmetry: R-3m (166)
- Crystal system: trigonal

abc: 6.8239 6.8239 6.8239
angles: 33.93 33.93 33.93
With the nearest neighbours (Å) after each atom.
Positions (direct):
Tm (0.0000, 0.0000, 0.0000)  6 P 2.81
Pu (0.5000, 0.5000, 0.5000)  6 P 2.80
P (0.2495, 0.2495, 0.2495)  3 Pu 2.80, 3 Tm 2.81
P (0.7505, 0.7505, 0.7505)  3 Pu 2.80, 3 Tm 2.81

=====

TmPu2UP4: optimized geometry, PBE.

Calculated values
- Calculated total energy: -9.461 eV per atom
- Symmetry: P2/m (10)
- Crystal system: monoclinic

abc: 6.8450 3.9584 6.8620
angles: 90.00 109.42 90.00
With the nearest neighbours (Å) after each atom.
Positions (direct):
Tm (0.0000, 0.0000, 0.0000)  6 P 2.79-2.80
Pu (0.5000, 0.0000, 0.5000)  6 P 2.80-2.81
Pu (0.5000, 0.5000, 0.0000)  6 P 2.82-2.83
U (0.0000, 0.5000, 0.5000)  6 P 2.76-2.77
P (0.2447, 0.0000, 0.7465)  2 U 2.77, 1 Tm 2.79, 3 Pu 2.81-2.82
P (0.2467, 0.5000, 0.2528)  1 U 2.76, 2 Tm 2.80, 3 Pu 2.80-2.83
P (0.7533, 0.5000, 0.7472)  1 U 2.76, 2 Tm 2.80, 3 Pu 2.80-2.83
P (0.7553, 0.0000, 0.2535)  2 U 2.77, 1 Tm 2.79, 3 Pu 2.81-2.82

=====

YTmPu2P4: optimized geometry, PBE.

Calculated values
- Calculated total energy: -9.040 eV per atom
- Symmetry: P2/m (10)
- Crystal system: monoclinic

abc: 6.8574 3.9982 6.9241
angles: 90.00 109.68 90.00
With the nearest neighbours (Å) after each atom.
Positions (direct):
Y (0.0000, 0.0000, 0.0000)  6 P 2.84
Tm (0.0000, 0.5000, 0.5000)  6 P 2.82
Pu (0.5000, 0.0000, 0.5000)  6 P 2.79
Pu (0.5000, 0.5000, 0.0000)  6 P 2.81
P (0.2531, 0.0000, 0.7489)  3 Pu 2.79-2.81, 2 Tm 2.82, 1 Y 2.84
P (0.2548, 0.5000, 0.2538)  3 Pu 2.79-2.81, 1 Tm 2.82, 2 Y 2.84
P (0.7452, 0.5000, 0.7462)  3 Pu 2.79-2.81, 1 Tm 2.82, 2 Y 2.84
P (0.7469, 0.0000, 0.2511)  3 Pu 2.79-2.81, 2 Tm 2.82, 1 Y 2.84

=====

Y2TmPuP4: optimized geometry, PBE.

Calculated values
- Calculated total energy: -8.165 eV per atom
- Symmetry: P2/m (10)
- Crystal system: monoclinic

abc: 6.8976 3.9981 6.9043
angles: 90.00 109.49 90.00
With the nearest neighbours (Å) after each atom.
Positions (direct):
Y (0.0000, 0.0000, 0.0000)  6 P 2.84
Y (0.5000, 0.5000, 0.0000)  6 P 2.83-2.84
Tm (0.0000, 0.5000, 0.5000)  6 P 2.80-2.81
Pu (0.5000, 0.0000, 0.5000)  6 P 2.80
P (0.2488, 0.0000, 0.7452)  1 Pu 2.80, 2 Tm 2.81, 3 Y 2.84
P (0.2525, 0.5000, 0.2554)  2 Pu 2.80, 1 Tm 2.80, 3 Y 2.83-2.84
P (0.7475, 0.5000, 0.7446)  2 Pu 2.80, 1 Tm 2.80, 3 Y 2.83-2.84
P (0.7512, 0.0000, 0.2548)  1 Pu 2.80, 2 Tm 2.81, 3 Y 2.84

=====

TmPuZr2P4: optimized geometry, PBE.

Calculated values
- Calculated total energy: -8.599 eV per atom
- Symmetry: P2/m (10)
- Crystal system: monoclinic

abc: 6.6304 3.8394 6.6962
angles: 90.00 109.28 90.00
With the nearest neighbours (Å) after each atom.
Positions (direct):
Tm (0.0000, 0.0000, 0.0000)  6 P 2.76
Pu (0.5000, 0.5000, 0.0000)  6 P 2.76
Zr (0.0000, 0.5000, 0.5000)  6 P 2.68
Zr (0.5000, 0.0000, 0.5000)  6 P 2.68
P (0.2461, 0.0000, 0.7390)  3 Zr 2.68, 1 Tm 2.76, 2 Pu 2.76
P (0.2531, 0.5000, 0.2608)  3 Zr 2.68, 2 Tm 2.76, 1 Pu 2.76
P (0.7469, 0.5000, 0.7392)  3 Zr 2.68, 2 Tm 2.76, 1 Pu 2.76
P (0.7539, 0.0000, 0.2610)  3 Zr 2.68, 1 Tm 2.76, 2 Pu 2.76

=====

Pu2UP4: optimized geometry, PBE.

Calculated values
- Calculated total energy: -9.624 eV per atom
- Symmetry: Cmcm (63)
- Crystal system: orthorhombic

abc: 7.0157 7.0157 11.2545
angles: 90.00 90.00 146.41
With the nearest neighbours (Å) after each atom.
Positions (direct):
Pu (0.1338, 0.8662, 0.5613)  6 P 2.62-2.88
Pu (0.1338, 0.8662, 0.9387)  6 P 2.62-2.88
Pu (0.8662, 0.1338, 0.0613)  6 P 2.62-2.88
Pu (0.8662, 0.1338, 0.4387)  6 P 2.62-2.88
U (0.3960, 0.6040, 0.7500)  6 P 2.62-2.89
U (0.6040, 0.3960, 0.2500)  6 P 2.62-2.89
P (0.0198, 0.9802, 0.7500)  2 Pu 2.62, 2 U 2.62
P (0.2333, 0.7667, 0.1508)  1 P 2.23
P (0.2333, 0.7667, 0.3492)  1 P 2.23
P (0.5000, 0.5000, 0.0000)  4 Pu 2.80
P (0.5000, 0.5000, 0.5000)  4 Pu 2.80
P (0.7667, 0.2333, 0.6508)  1 P 2.23
P (0.7667, 0.2333, 0.8492)  1 P 2.23
P (0.9802, 0.0198, 0.2500)  2 Pu 2.62, 2 U 2.62

=====

| no. | D(E_F) (states/eV/cell) |
| --- | --- |
| 1 | 4.61 |
| 2 | 9.89 |
| 3 | 8.64 |
| 4 | 23.45 |
| 5 | 17.47 |
| 6 | 11.54 |
| 7 | 11.43 |
| 8 | 37.09 |